{"formula": "GdErAlTc", "functional": "PBE", "state": "optimized geometry", "formation_energy_ev_per_atom": -0.149, "final_energy_ev_per_cell": -33.350, "lattice": [[4.969, 0.000, 0.000], [2.484, 4.303, 0.000], [2.484, 1.434, 4.057]], "species": ["Tc", "Al", "Gd", "Er"], "fractional_positions": [[0.250, 0.250, 0.250], [0.750, 0.750, 0.750], [0.500, 0.500, 0.500], [0.000, 0.000, 0.000]]}

{"formula": "GdErTiAl", "functional": "PBE", "state": "optimized geometry", "formation_energy_ev_per_atom": -0.042, "final_energy_ev_per_cell": -30.449, "lattice": [[-4.366, 2.577, 0.795], [-3.309, -1.603, 3.580], [-0.630, 2.713, 4.310]], "species": ["Al", "Er", "Gd", "Ti"], "fractional_positions": [[0.750, 0.750, 0.750], [0.500, 0.500, 0.500], [0.000, 0.000, 0.000], [0.250, 0.250, 0.250]]}

{"formula": "GdErAlTl", "functional": "PBE", "state": "optimized geometry", "formation_energy_ev_per_atom": -0.334, "final_energy_ev_per_cell": -26.087, "lattice": [[5.248, 0.000, 0.000], [2.624, 4.545, 0.000], [2.624, 1.515, 4.285]], "species": ["Er", "Tl", "Gd", "Al"], "fractional_positions": [[0.750, 0.750, 0.750], [0.000, 0.000, 0.000], [0.250, 0.250, 0.250], [0.500, 0.500, 0.500]]}

{"formula": "GdErTmAl", "functional": "PBE", "state": "optimized geometry", "formation_energy_ev_per_atom": -0.079, "final_energy_ev_per_cell": -27.173, "lattice": [[-4.075, 1.353, -3.128], [-0.808, -2.579, -4.573], [-4.158, -3.267, -0.507]], "species": ["Er", "Al", "Tm", "Gd"], "fractional_positions": [[0.000, 0.000, 0.000], [0.250, 0.250, 0.250], [0.750, 0.750, 0.750], [0.500, 0.500, 0.500]]}

{"formula": "Er2AlGe", "functional": "PBE", "state": "optimized geometry", "formation_energy_ev_per_atom": -0.473, "final_energy_ev_per_cell": -19.377, "lattice": [[-0.736, 1.390, -5.042], [4.390, -1.926, 2.189], [-4.381, -2.652, -1.291]], "species": ["Er", "Er", "Al", "Ge"], "fractional_positions": [[0.334, 0.425, 0.802], [0.834, 0.425, 0.302], [0.084, 0.925, 0.052], [0.584, 0.925, 0.552]]}

{"formula": "Er2AlGe3", "functional": "PBE", "state": "optimized geometry", "de_polymorph_ev_per_fu": 1.45, "formation_energy_ev_per_atom": -0.384, "final_energy_ev_per_cell": -29.022, "lattice": [[-3.194, 2.964, -0.769], [-2.833, -1.787, 4.879], [5.568, 2.878, 0.698]], "species": ["Ge", "Ge", "Ge", "Er", "Er", "Al"], "fractional_positions": [[0.634, 0.634, 0.269], [0.366, 0.366, 0.731], [0.000, 0.000, 0.000], [0.312, 0.812, 0.624], [0.688, 0.188, 0.376], [0.000, 0.500, 0.000]]}

{"formula": "ErAl2Ge", "functional": "PBE", "state": "optimized geometry", "formation_energy_ev_per_atom": -0.414, "final_energy_ev_per_cell": -18.321, "lattice": [[4.354, 0.000, 0.000], [0.000, 4.196, 0.000], [0.000, 0.000, 4.196]], "species": ["Al", "Al", "Ge", "Er"], "fractional_positions": [[0.000, 0.000, 0.500], [0.000, 0.500, 0.000], [0.500, 0.000, 0.000], [0.500, 0.500, 0.500]]}

{"formula": "Er11Al2Ge8", "functional": "PBE", "state": "optimized geometry", "formation_energy_ev_per_atom": -0.807, "final_energy_ev_per_cell": -223.133, "lattice": [[-3.783, 10.281, -1.979], [-9.910, -3.895, -3.250], [4.275, -2.736, 9.909]], "species": ["Er", "Er", "Er", "Er", "Er", "Er", "Er", "Er", "Er", "Er", "Er", "Er", "Er", "Er", "Er", "Er", "Er", "Er", "Er", "Er", "Er", "Er", "Ge", "Ge", "Ge", "Ge", "Ge", "Ge", "Ge", "Ge", "Ge", "Ge", "Ge", "Ge", "Ge", "Ge", "Ge", "Ge", "Al", "Al", "Al", "Al"], "fractional_positions": [[0.174, 0.826, 0.000], [0.558, 0.810, 0.749], [0.602, 0.269, 0.667], [0.335, 0.335, 0.000], [0.398, 0.731, 0.333], [0.398, 0.065, 0.667], [0.935, 0.602, 0.333], [0.190, 0.442, 0.251], [0.174, 0.174, 0.349], [0.602, 0.935, 0.333], [0.826, 0.826, 0.651], [0.665, 0.665, 0.000], [0.269, 0.602, 0.667], [0.731, 0.398, 0.333], [0.939, 0.190, 0.749], [0.810, 0.061, 0.251], [0.810, 0.558, 0.749], [0.065, 0.398, 0.667], [0.442, 0.190, 0.251], [0.190, 0.939, 0.749], [0.826, 0.174, 0.000], [0.061, 0.810, 0.251], [0.879, 0.468, 0.000], [0.646, 0.000, 0.646], [0.000, 0.646, 0.646], [0.750, 0.250, 0.500], [0.532, 0.121, 0.000], [0.117, 0.117, 0.000], [0.250, 0.750, 0.500], [0.532, 0.532, 0.410], [0.879, 0.879, 0.410], [0.883, 0.883, 0.000], [0.468, 0.879, 0.000], [0.121, 0.532, 0.000], [0.468, 0.468, 0.590], [0.121, 0.121, 0.590], [0.354, 0.000, 0.354], [0.000, 0.354, 0.354], [0.377, 0.377, 0.753], [0.623, 0.377, 0.000], [0.623, 0.623, 0.247], [0.377, 0.623, 0.000]]}

{"formula": "Er3AlGe", "functional": "PBE", "state": "optimized geometry", "formation_energy_ev_per_atom": -0.344, "final_energy_ev_per_cell": -95.078, "lattice": [[5.884, 0.755, 0.674], [1.746, 9.763, 1.276], [1.746, 2.376, 9.555]], "species": ["Al", "Al", "Al", "Al", "Er", "Er", "Er", "Er", "Er", "Er", "Er", "Er", "Er", "Er", "Er", "Er", "Ge", "Ge", "Ge", "Ge"], "fractional_positions": [[0.250, 0.794, 0.206], [0.250, 0.028, 0.972], [0.750, 0.206, 0.794], [0.750, 0.972, 0.028], [0.077, 0.930, 0.697], [0.577, 0.697, 0.930], [0.955, 0.643, 0.149], [0.932, 0.332, 0.459], [0.545, 0.851, 0.357], [0.432, 0.459, 0.332], [0.423, 0.303, 0.070], [0.923, 0.070, 0.303], [0.068, 0.668, 0.541], [0.455, 0.149, 0.643], [0.045, 0.357, 0.851], [0.568, 0.541, 0.668], [0.854, 0.382, 0.140], [0.146, 0.618, 0.860], [0.354, 0.140, 0.382], [0.646, 0.860, 0.618]]}

{"formula": "Er6AlGe2", "functional": "PBE", "state": "optimized geometry", "formation_energy_ev_per_atom": -0.539, "final_energy_ev_per_cell": -90.405, "lattice": [[7.879, 0.015, -2.966], [-4.118, 6.956, -2.350], [-0.174, -0.015, 8.417]], "species": ["Er", "Er", "Er", "Er", "Er", "Er", "Er", "Er", "Er", "Er", "Er", "Er", "Al", "Al", "Ge", "Ge", "Ge", "Ge"], "fractional_positions": [[0.707, 0.381, 0.674], [0.548, 0.728, 0.820], [0.452, 0.272, 0.180], [0.093, 0.272, 0.820], [0.907, 0.728, 0.180], [0.196, 0.251, 0.447], [0.804, 0.251, 0.055], [0.196, 0.749, 0.945], [0.293, 0.619, 0.326], [0.804, 0.749, 0.553], [0.293, 0.967, 0.674], [0.707, 0.033, 0.326], [0.000, 0.000, 0.000], [0.000, 0.500, 0.500], [0.343, 0.000, 0.343], [0.500, 0.376, 0.876], [0.657, 0.000, 0.657], [0.500, 0.624, 0.124]]}

{"formula": "ErAl4Ge", "functional": "PBE", "state": "optimized geometry", "formation_energy_ev_per_atom": -0.144, "final_energy_ev_per_cell": -25.016, "lattice": [[-3.080, -4.501, 0.119], [1.528, -4.271, 3.031], [-2.787, -1.279, 4.511]], "species": ["Al", "Al", "Al", "Al", "Ge", "Er"], "fractional_positions": [[0.625, 0.625, 0.125], [0.625, 0.125, 0.625], [0.625, 0.625, 0.625], [0.125, 0.625, 0.625], [0.000, 0.000, 0.000], [0.250, 0.250, 0.250]]}

{"formula": "ErAlGe2", "functional": "PBE", "state": "optimized geometry", "de_polymorph_ev_per_fu": 0.36, "formation_energy_ev_per_atom": -0.354, "final_energy_ev_per_cell": -37.911, "lattice": [[3.760, 0.000, 0.000], [0.000, 4.579, 0.000], [0.000, 0.000, 10.052]], "species": ["Er", "Er", "Al", "Al", "Ge", "Ge", "Ge", "Ge"], "fractional_positions": [[0.500, 0.000, 0.134], [0.000, 0.500, 0.866], [0.000, 0.000, 0.658], [0.500, 0.500, 0.342], [0.500, 0.000, 0.463], [0.000, 0.500, 0.156], [0.500, 0.000, 0.844], [0.000, 0.500, 0.537]]}

{"formula": "ErAlGe2", "functional": "PBE", "state": "optimized geometry", "de_polymorph_ev_per_fu": 0.58, "formation_energy_ev_per_atom": -0.301, "final_energy_ev_per_cell": -18.744, "lattice": [[-2.012, -3.865, -0.651], [-0.077, -3.012, 3.214], [-4.808, -0.429, 2.502]], "species": ["Ge", "Ge", "Er", "Al"], "fractional_positions": [[0.722, 0.722, 0.833], [0.278, 0.278, 0.167], [0.500, 0.500, 0.500], [0.000, 0.000, 0.000]]}

{"formula": "Er3AlGe2", "functional": "PBE", "state": "optimized geometry", "formation_energy_ev_per_atom": -0.688, "final_energy_ev_per_cell": -123.181, "lattice": [[-3.338, 2.310, 0.965], [-5.470, -4.047, -9.229], [-4.183, -8.666, 6.279]], "species": ["Al", "Al", "Al", "Al", "Er", "Er", "Er", "Er", "Er", "Er", "Er", "Er", "Er", "Er", "Er", "Er", "Ge", "Ge", "Ge", "Ge", "Ge", "Ge", "Ge", "Ge"], "fractional_positions": [[0.250, 0.369, 0.634], [0.250, 0.131, 0.134], [0.750, 0.631, 0.366], [0.750, 0.869, 0.866], [0.250, 0.436, 0.373], [0.250, 0.119, 0.555], [0.750, 0.619, 0.945], [0.250, 0.381, 0.055], [0.750, 0.564, 0.627], [0.250, 0.700, 0.202], [0.250, 0.064, 0.873], [0.750, 0.300, 0.798], [0.750, 0.200, 0.298], [0.750, 0.936, 0.127], [0.250, 0.800, 0.702], [0.750, 0.881, 0.445], [0.250, 0.685, 0.482], [0.750, 0.185, 0.018], [0.750, 0.999, 0.686], [0.250, 0.001, 0.314], [0.750, 0.501, 0.186], [0.250, 0.815, 0.982], [0.750, 0.315, 0.518], [0.250, 0.499, 0.814]]}

{"formula": "ErAlGe2", "functional": "PBE", "state": "optimized geometry", "de_polymorph_ev_per_fu": 0.15, "formation_energy_ev_per_atom": -0.407, "final_energy_ev_per_cell": -19.167, "lattice": [[4.008, 0.000, 0.000], [0.000, 4.410, 0.000], [0.000, 0.000, 4.410]], "species": ["Er", "Ge", "Ge", "Al"], "fractional_positions": [[0.500, 0.500, 0.500], [0.000, 0.500, 0.000], [0.000, 0.000, 0.500], [0.500, 0.000, 0.000]]}

{"formula": "Er2AlGe3", "functional": "PBE", "state": "optimized geometry", "de_polymorph_ev_per_fu": 0.00, "formation_energy_ev_per_atom": -0.626, "final_energy_ev_per_cell": -121.895, "lattice": [[-1.410, 3.870, 0.495], [-4.218, -2.165, 4.908], [12.455, 3.000, 12.025]], "species": ["Er", "Er", "Er", "Er", "Er", "Er", "Er", "Er", "Ge", "Ge", "Ge", "Ge", "Ge", "Ge", "Ge", "Ge", "Ge", "Ge", "Ge", "Ge", "Al", "Al", "Al", "Al"], "fractional_positions": [[0.750, 0.333, 0.085], [0.250, 0.160, 0.795], [0.750, 0.840, 0.205], [0.750, 0.340, 0.295], [0.250, 0.167, 0.585], [0.250, 0.667, 0.915], [0.750, 0.833, 0.415], [0.250, 0.660, 0.705], [0.750, 0.349, 0.689], [0.750, 0.747, 0.035], [0.250, 0.651, 0.311], [0.250, 0.753, 0.535], [0.750, 0.247, 0.465], [0.250, 0.151, 0.189], [0.750, 0.453, 0.830], [0.250, 0.047, 0.330], [0.750, 0.953, 0.670], [0.250, 0.253, 0.965], [0.250, 0.547, 0.170], [0.750, 0.849, 0.811], [0.750, 0.547, 0.565], [0.250, 0.453, 0.435], [0.750, 0.047, 0.935], [0.250, 0.953, 0.065]]}

{"formula": "Er2AlGe", "functional": "PBE", "state": "optimized geometry", "formation_energy_ev_per_atom": -0.685, "final_energy_ev_per_cell": -20.225, "lattice": [[-0.426, -1.927, -3.842], [0.808, -3.527, 1.679], [-5.036, 0.216, 2.878]], "species": ["Al", "Ge", "Er", "Er"], "fractional_positions": [[0.370, 0.000, 0.739], [0.525, 0.500, 0.049], [0.086, 0.000, 0.172], [0.804, 0.500, 0.609]]}

{"formula": "Er6Al2Ge7", "functional": "PBE", "state": "optimized geometry", "formation_energy_ev_per_atom": -0.726, "final_energy_ev_per_cell": -78.074, "lattice": [[-4.000, -3.385, -2.043], [-1.650, -5.340, 0.623], [-9.259, 3.868, 10.997]], "species": ["Ge", "Ge", "Ge", "Ge", "Ge", "Ge", "Ge", "Er", "Er", "Er", "Er", "Er", "Er", "Al", "Al"], "fractional_positions": [[0.246, 0.246, 0.759], [0.067, 0.067, 0.571], [0.933, 0.933, 0.429], [0.388, 0.388, 0.898], [0.754, 0.754, 0.241], [0.612, 0.612, 0.102], [0.000, 0.000, 0.000], [0.326, 0.326, 0.094], [0.962, 0.962, 0.760], [0.038, 0.038, 0.240], [0.354, 0.354, 0.570], [0.646, 0.646, 0.430], [0.674, 0.674, 0.906], [0.659, 0.659, 0.663], [0.341, 0.341, 0.337]]}

{"formula": "Er2AlGe", "functional": "PBE", "state": "optimized geometry", "formation_energy_ev_per_atom": 0.075, "final_energy_ev_per_cell": -17.186, "lattice": [[3.982, 0.000, 0.000], [1.991, 3.449, 0.000], [1.991, 1.150, 9.325]], "species": ["Er", "Er", "Ge", "Al"], "fractional_positions": [[0.890, 0.890, 0.331], [0.110, 0.110, 0.669], [0.500, 0.500, 0.500], [0.000, 0.000, 0.000]]}

{"formula": "Er4Al5Ge6", "functional": "PBE", "state": "optimized geometry", "formation_energy_ev_per_atom": -0.435, "final_energy_ev_per_cell": -142.398, "lattice": [[4.110, 0.000, 0.000], [-2.055, 9.952, 0.000], [0.000, 0.000, 15.098]], "species": ["Al", "Al", "Al", "Al", "Al", "Al", "Al", "Al", "Al", "Al", "Ge", "Ge", "Ge", "Ge", "Ge", "Ge", "Ge", "Ge", "Ge", "Ge", "Ge", "Ge", "Er", "Er", "Er", "Er", "Er", "Er", "Er", "Er"], "fractional_positions": [[0.561, 0.121, 0.188], [0.308, 0.615, 0.618], [0.643, 0.286, 0.477], [0.692, 0.385, 0.118], [0.660, 0.319, 0.779], [0.852, 0.704, 0.128], [0.357, 0.714, 0.977], [0.340, 0.681, 0.279], [0.148, 0.296, 0.628], [0.439, 0.879, 0.688], [0.767, 0.533, 0.258], [0.217, 0.433, 0.491], [0.442, 0.885, 0.854], [0.558, 0.115, 0.354], [0.892, 0.784, 0.613], [0.233, 0.467, 0.758], [0.108, 0.216, 0.113], [0.434, 0.869, 0.126], [0.783, 0.567, 0.991], [0.566, 0.131, 0.626], [0.581, 0.163, 0.910], [0.419, 0.837, 0.410], [0.011, 0.022, 0.493], [0.816, 0.632, 0.444], [0.836, 0.671, 0.808], [0.037, 0.073, 0.770], [0.963, 0.927, 0.270], [0.164, 0.329, 0.308], [0.989, 0.978, 0.993], [0.184, 0.368, 0.944]]}